The following is a GGA+U calculation of a relaxed structure of K2WO4, from Alexandria.

a b c (Å): 3.9746 3.9746 13.7856
angles (deg): 90.00 90.00 90.00
Positions (direct):
K: 0.0000 0.0000 0.1597
K: 0.0000 0.0000 0.8403
K: 0.5000 0.5000 0.3403
K: 0.5000 0.5000 0.6597
W: 0.0000 0.0000 0.5000
W: 0.5000 0.5000 0.0000
O: 0.0000 0.0000 0.3621
O: 0.0000 0.0000 0.6379
O: 0.0000 0.5000 0.0000
O: 0.0000 0.5000 0.5000
O: 0.5000 0.0000 0.0000
O: 0.5000 0.0000 0.5000
O: 0.5000 0.5000 0.1379
O: 0.5000 0.5000 0.8621

Computed properties:
**E above lowest polymorph**: 0.0515 eV per atom
**E**: -86.52 eV per cell